Record 1
{"formula": "Sr2TmCd", "functional": "GGA-PBE", "state": "optimized geometry", "polymorph_energy_ev_per_fu": 0.00, "spacegroup": "No. 123", "lattice": [[4.2390, 0.0000, 0.0000], [0.0000, 4.2390, 0.0000], [0.0000, 0.0000, 8.0933]], "species": ["Sr", "Sr", "Tm", "Cd"], "frac_coords": [[0.0000, 0.0000, 0.7672], [0.0000, 0.0000, 0.2328], [0.5000, 0.5000, 0.5000], [0.5000, 0.5000, 0.0000]]}

***

Record 2
{"formula": "SrTm2Cd6", "functional": "GGA-PBE", "state": "optimized geometry", "spacegroup": "No. 191", "lattice": [[-2.4668, 2.0160, 1.3944], [-5.3638, -2.0348, -6.5470], [0.1015, -4.8670, 7.2164]], "species": ["Sr", "Tm", "Tm", "Cd", "Cd", "Cd", "Cd", "Cd", "Cd"], "frac_coords": [[0.0000, 0.0000, 0.0000], [0.0000, 0.3333, 0.6667], [0.0000, 0.6667, 0.3333], [0.5000, 0.3385, 0.3385], [0.5000, 0.6615, 0.6615], [0.5000, 0.0000, 0.6615], [0.5000, 0.6615, 0.0000], [0.5000, 0.3385, 0.0000], [0.5000, 0.0000, 0.3385]]}

***

Record 3
{"formula": "SrTmZnCd", "functional": "GGA-PBE", "state": "optimized geometry", "spacegroup": "No. 216", "lattice": [[-3.4591, 2.8773, 2.9013], [-1.1803, -1.4861, 5.0060], [1.7494, 2.9101, 4.1391]], "species": ["Sr", "Zn", "Tm", "Cd"], "frac_coords": [[0.0000, 0.0000, 0.0000], [0.2500, 0.2500, 0.2500], [0.5000, 0.5000, 0.5000], [0.7500, 0.7500, 0.7500]]}

***

| no. | E_form (meV/atom) |
| --- | --- |
| 1 | 32 |
| 2 | -273 |
| 3 | -199 |